(1)
Below is an optimized crystal structure of Pr2TlAs, with properties calculated at the PBE level.

Results
- Excess energy over the best structure of this formula in the dataset: 60 meV/atom
- E_tot: -4.984 eV/atom

Unit cell a=4.1581 b=4.1581 c=25.2030 alpha=90.00 beta=90.00 gamma=120.00
Closest atoms and distances in Å follow each position.
Space group R3m (No. 160, hexagonal axes)
Unique sites:
Pr: 0.0000 0.0000 0.0000 x3  3 As 2.95
Pr: 0.0000 0.0000 0.1947 x3  3 As 2.99
Tl: 0.0000 0.0000 0.4309 x3  6 Pr 3.43-3.44
As: 0.0000 0.0000 0.5986 x3  6 Pr 2.95-2.99

---

(2)
Below is an optimized crystal structure of Ac2TmSb3Rh6, with properties calculated at the PBE level.

Results
- E_tot: -6.292 eV/atom
- Raw formation energy: -0.528 eV per atom

Unit cell a=4.1954 b=4.1954 c=16.9225 alpha=90.00 beta=90.00 gamma=90.00
Closest atoms and distances in Å follow each position.
Space group P4/mmm (No. 123)
Unique sites:
Ac: 0.0000 0.0000 0.1634 x2  4 Rh 2.97
Tm: 0.0000 0.0000 0.5000 x1  8 Rh 2.82
Sb: 0.5000 0.5000 0.0000 x1  2 Rh 2.54
Sb: 0.5000 0.5000 0.3025 x2  5 Rh 2.55-2.58
Rh: 0.0000 0.5000 0.3887 x4  2 Sb 2.55, 2 Tm 2.82
Rh: 0.5000 0.5000 0.1503 x2  2 Sb 2.54-2.58

---

(3)
Below is an optimized crystal structure of MoSeCl, with properties calculated at the PBE level.

Results
- E_tot: -5.696 eV/atom
- Raw formation energy: -0.308 eV per atom

Unit cell a=3.0621 b=3.0621 c=14.1232 alpha=90.00 beta=90.00 gamma=90.00
Closest atoms and distances in Å follow each position.
Space group I4mm (No. 107)
Unique sites:
Mo: 0.0000 0.0000 0.0000 x2  4 Se 2.64, 4 Cl 2.68
Se: 0.0000 0.0000 0.3929 x2  4 Mo 2.64
Cl: 0.0000 0.0000 0.6118 x2  4 Mo 2.68

---

(4)
Below is an optimized crystal structure of Ho3HgRh, with properties calculated at the PBE level.

Results
- Excess energy over the best structure of this formula in the dataset: 0 meV/atom
- E_tot: -4.841 eV/atom

Unit cell a=6.3749 b=9.6589 c=16.2882 alpha=90.00 beta=90.00 gamma=90.00
Closest atoms and distances in Å follow each position.
Space group Fmmm (No. 69)
Unique sites:
Ho: 0.0000 0.0000 0.1967 x8  4 Rh 3.02, 2 Ho 3.37
Ho: 0.0000 0.1829 0.3892 x16  2 Rh 2.85, 2 Hg 3.10
Hg: 0.2170 0.0000 0.0000 x8  1 Hg 2.77
Rh: 0.2500 0.2500 0.2500 x8  8 Ho 2.85-3.02, 2 Rh 3.19

---

(5)
Below is an optimized crystal structure of Y2AlNi, with properties calculated at the PBE level.

Results
- E_tot: -5.604 eV/atom

Unit cell a=7.7599 b=7.7599 c=6.2321 alpha=90.00 beta=90.00 gamma=90.00
Closest atoms and distances in Å follow each position.
Space group I-42d (No. 122)
Unique sites:
Y: 0.2023 0.2500 0.1250 x8  2 Ni 2.61
Al: 0.0000 0.0000 0.5000 x4  8 Y 3.12-3.42, 2 Ni 3.12
Ni: 0.0000 0.0000 0.0000 x4  4 Y 2.61

---

(6)
Below is an optimized crystal structure of Hf2TiTl3Te6, with properties calculated at the PBE level.

Results
- E_tot: -5.035 eV/atom
- Raw formation energy: -0.555 eV per atom

Unit cell a=6.8038 b=11.6902 c=9.4785 alpha=90.00 beta=99.51 gamma=90.00
Closest atoms and distances in Å follow each position.
Space group C2/m (No. 12)
Unique sites:
Hf: 0.0000 0.1661 0.0000 x4  6 Te 2.88-2.89
Ti: 0.0000 0.5000 0.0000 x2  6 Te 2.82-2.83
Tl: 0.0000 0.0000 0.5000 x2  6 Te 3.52-3.79, 2 Tl 3.75
Tl: 0.0000 0.3211 0.5000 x4  6 Te 3.48-3.85, 3 Tl 3.75-3.79
Te: 0.2071 0.3373 0.1880 x8  1 Ti 2.82, 2 Hf 2.88-2.89
Te: 0.2199 0.0000 0.1894 x4  1 Ti 2.83, 2 Hf 2.89

---

Number 1: calculated volume 31.4 Å³/atom. Number 2: calculated volume 24.8 Å³/atom. Number 3: calculated volume 22.1 Å³/atom. Number 4: calculated volume 25.1 Å³/atom. Number 5: calculated volume 23.5 Å³/atom. Number 6: calculated volume 31.0 Å³/atom.